[1]
VASP calculation (GGA-PBE) on a relaxed structure of LiCr3N. Values from VASP.

Properties
The calculation puts the energy above the most stable polymorph in this dataset at 0.0 meV/atom. The space group is Pm-3m, No. 221.

Quantum ESPRESSO input file:
```
&SYSTEM
  ibrav = 0, nat = 5, ntyp = 3
/
ATOMIC_SPECIES
Li 6.94 Li.upf
Cr 52.00 Cr.upf
N 14.01 N.upf
CELL_PARAMETERS angstrom
3.8062 0.0000 0.0000
0.0000 3.8062 0.0000
0.0000 0.0000 3.8062
ATOMIC_POSITIONS crystal
Li 0.0000 0.0000 0.0000
Cr 0.0000 0.5000 0.5000
Cr 0.5000 0.0000 0.5000
Cr 0.5000 0.5000 0.0000
N 0.5000 0.5000 0.5000
```

---

[2]
VASP calculation (GGA-PBE) on a relaxed structure of BaNbP2N6. Values from VASP.

Properties
The space group is C2/c, No. 15.

Quantum ESPRESSO input file:
```
&SYSTEM
  ibrav = 0, nat = 20, ntyp = 4
/
ATOMIC_SPECIES
Ba 137.33 Ba.upf
Nb 92.91 Nb.upf
P 30.97 P.upf
N 14.01 N.upf
CELL_PARAMETERS angstrom
4.9255 -5.6132 0.0000
4.9255 5.6132 0.0000
-1.5760 0.0000 5.2734
ATOMIC_POSITIONS crystal
Ba 0.1391 0.8609 0.7500
Ba 0.8609 0.1391 0.2500
Nb 0.3008 0.6992 0.2500
Nb 0.6992 0.3008 0.7500
P 0.1804 0.3303 0.8295
P 0.3303 0.1804 0.3295
P 0.6697 0.8196 0.6705
P 0.8196 0.6697 0.1705
N 0.0420 0.6629 0.2537
N 0.2024 0.2241 0.0729
N 0.2241 0.2024 0.5729
N 0.2932 0.5402 0.9178
N 0.3371 0.9580 0.2463
N 0.4598 0.7068 0.5822
N 0.5402 0.2932 0.4178
N 0.6629 0.0420 0.7537
N 0.7068 0.4598 0.0822
N 0.7759 0.7976 0.4271
N 0.7976 0.7759 0.9271
N 0.9580 0.3371 0.7463
```

---

Formation energy (no corrections)? In order: 0.017, -0.451 eV per atom.
E? In order: -7.8044, -7.7270 eV/atom.